# 1
First-principles (PBE) data for a relaxed structure of AlAgSn, as listed in Alexandria.

Summary:
uncorrected energy: -0.25603 Ry/atom
energy of formation from the pure elements: 0.049 eV per atom
spin magnetization: 0.000 Bohr magnetons per cell
ρ: 6.73 g/cm³

a = 4.750 Å, b = 3.224 Å, c = 8.427 Å
α = 90.00°, β = 104.09°, γ = 90.00°
Space group P2_1/m (No. 11)
Symmetry-distinct sites (fractional):
Al1 0.232 0.250 0.479 (multiplicity 2)
Ag1 0.364 0.750 0.238 (multiplicity 2)
Sn1 0.188 0.750 0.870 (multiplicity 2)

---

# 2
First-principles (PBE) data for a relaxed structure of CsMg3F, as listed in Alexandria.

Summary:
ΔE_f (raw): 52.0 kJ/mol of atoms
uncorrected energy: -0.07080 Ry/atom
distance to the lowest polymorph of the same formula: 831 meV per atom
spin magnetization: 0.031 Bohr magnetons per cell
ρ: 0.85 g/cm³

a = 7.592 Å, b = 7.592 Å, c = 7.592 Å
α = 90.00°, β = 90.00°, γ = 90.00°
Space group Pm-3m (No. 221)
Symmetry-distinct sites (fractional):
Cs1 0.000 0.000 0.000 (multiplicity 1)
Mg1 0.000 0.000 0.500 (multiplicity 3)
F1 0.500 0.500 0.500 (multiplicity 1)

---

# 3
First-principles (PBE) data for a relaxed structure of HoGa5Ni2Ir, as listed in Alexandria.

Summary:
uncorrected energy: -0.34592 Ry/atom
energy of formation from the pure elements: -0.247 eV per atom
spin magnetization: 0.000 Bohr magnetons per cell
ρ: 9.14 g/cm³

a = 4.633 Å, b = 4.633 Å, c = 6.965 Å
α = 90.00°, β = 90.00°, γ = 90.00°
Space group P4/mmm (No. 123)
Symmetry-distinct sites (fractional):
Ho1 0.000 0.000 0.000 (multiplicity 1)
Ga1 0.000 0.500 0.303 (multiplicity 4)
Ga2 0.500 0.500 0.000 (multiplicity 1)
Ni1 0.500 0.500 0.327 (multiplicity 2)
Ir1 0.000 0.000 0.500 (multiplicity 1)

---

# 4
First-principles (PBE) data for a relaxed structure of CdTcAs2, as listed in Alexandria.

Summary:
uncorrected energy: -0.36706 Ry/atom
energy of formation from the pure elements: 0.151 eV per atom
spin magnetization: 0.000 Bohr magnetons per cell
ρ: 8.10 g/cm³

a = 8.431 Å, b = 3.241 Å, c = 5.492 Å
α = 90.00°, β = 100.41°, γ = 90.00°
Space group C2/m (No. 12)
Symmetry-distinct sites (fractional):
Cd1 0.000 0.000 0.000 (multiplicity 2)
Tc1 0.000 0.500 0.500 (multiplicity 2)
As1 0.226 0.000 0.695 (multiplicity 4)

---

# 5
First-principles (PBE) data for a relaxed structure of LiNd2CdHg4, as listed in Alexandria.

Summary:
uncorrected energy: -0.15787 Ry/atom
energy of formation from the pure elements: -0.452 eV per atom
spin magnetization: 0.000 Bohr magnetons per cell
ρ: 10.33 g/cm³

a = 5.1635 Å, b = 5.1635 Å, c = 25.2715 Å
α = 90.00°, β = 90.00°, γ = 120.00°
Space group R-3m (No. 166, hexagonal axes)
Symmetry-distinct sites (fractional):
Li1 0.0000 0.0000 0.0000 (multiplicity 3)
Nd1 0.0000 0.0000 0.2473 (multiplicity 6)
Cd1 0.0000 0.0000 0.5000 (multiplicity 3)
Hg1 0.0000 0.0000 0.1199 (multiplicity 6)
Hg2 0.0000 0.0000 0.3708 (multiplicity 6)

---

# 6
First-principles (PBE) data for a relaxed structure of AlSb, as listed in Alexandria.

Summary:
ΔE_f (raw): -1.0 kJ/mol of atoms
uncorrected energy: -0.28979 Ry/atom
spin magnetization: 0.000 Bohr magnetons per cell
ρ: 4.11 g/cm³

a = 4.235 Å, b = 4.238 Å, c = 6.694 Å
α = 90.00°, β = 90.34°, γ = 90.00°
Space group P2_1/m (No. 11)
Symmetry-distinct sites (fractional):
Al1 0.249 0.250 0.000 (multiplicity 2)
Sb1 0.254 0.750 0.269 (multiplicity 2)